Entry from the Alexandria database: a geometry-optimized Na2NiBiF8 structure (GGA+U).

Cell and atoms, written as extended XYZ:
```
12
Lattice="4.872 0.000 0.000 0.000 6.843 0.000 -0.102 0.000 5.287" Properties=species:S:1:pos:R:3 pbc="T T T"
Na 0.000 1.592 0.000
Na 0.000 5.251 0.000
Ni 2.385 0.000 2.644
Bi 2.385 3.421 2.644
F 0.781 3.421 1.115
F 1.072 0.000 1.335
F 1.505 1.481 3.617
F 1.505 5.361 3.617
F 3.265 1.481 1.671
F 3.265 5.361 1.671
F 3.698 0.000 3.953
F 3.989 3.421 4.172
```

Computed properties:
DFT total energy ... -4.31 eV/atom
SG ... P2/m
Theoretical density ... 4.39 Mg/m³